# 1
HfGe2Ir2 GGA-PBE relaxed; space group = P4/mbm; E_form = -0.289 eV per atom; D(E_F) = 9.6 states/eV/cell; spin magnetization = 0.000 μB per atom
1.0
-3.0428 6.3742 -2.4153
-1.6110 -3.2425 -6.5278
-2.5515 -0.8243 1.0391
Ge Ir Hf
4 4 2
Cartesian
-2.4431 -0.5193 -6.4109
-3.6362 3.3285 -6.2883
-2.2107 3.6509 -2.5323
-1.0176 -0.1969 -2.6548
-2.7734 -1.5677 -4.0743
-4.6211 0.9626 -6.6043
-4.4320 3.8750 -3.8297
-2.5842 1.3448 -1.2997
0.0000 0.0000 0.0000
-2.3269 1.5658 -4.4716

***

# 2
AlTcAu2 GGA-PBE relaxed; space group = P4/mmm; E_form = -0.007 eV per atom; D(E_F) = 2.2 states/eV/cell; spin magnetization = 0.162 μB per atom
1.0
-0.3949 3.7702 -1.1434
-1.3377 0.9522 3.6019
3.8861 0.7820 1.2365
Au Tc Al
2 1 1
Cartesian
0.0000 0.0000 0.0000
-0.8663 2.3612 1.2293
1.7456 2.2761 0.0466
1.2742 0.8671 2.4192

***

# 3
NpGa2Sb GGA-PBE relaxed; space group = P4/mmm; distance to the lowest polymorph of the same formula = 0.00 eV/f.u.; D(E_F) = 9.4 states/eV/cell; spin magnetization = 0.985 μB per atom
1.0
-2.5642 -3.3974 1.0785
2.1492 -0.4020 3.8435
-2.8751 2.7724 1.8977
Np Sb Ga
1 1 2
Cartesian
-1.2821 -1.6987 0.5392
-1.6451 -0.5135 3.4098
-1.4376 1.3862 0.9488
1.0746 -0.2010 1.9218

***

# 4
Y2MnMo GGA-PBE relaxed; space group = F-43m; distance to the lowest polymorph of the same formula = 1.48 eV/f.u.; E_form = 0.540 eV per atom; D(E_F) = 5.7 states/eV/cell; spin magnetization = 0.699 μB per atom
1.0
4.9437 0.0000 0.0000
2.4718 4.2814 0.0000
2.4718 1.4271 4.0365
Mn Mo Y
1 1 2
Cartesian
4.9437 2.8542 2.0183
7.4155 4.2814 3.0274
0.0000 0.0000 0.0000
2.4718 1.4271 1.0091

***

# 5
EuCuSn2 GGA-PBE relaxed; space group = R-3m; E_form = -0.360 eV per atom; D(E_F) = 8.6 states/eV/cell; spin magnetization = 1.772 μB per atom
1.0
4.4409 0.0000 0.0000
2.2205 3.8460 0.0000
2.2205 1.2820 5.9242
Eu Sn Cu
1 2 1
Cartesian
0.0000 0.0000 0.0000
6.6614 3.8460 3.9082
2.2205 1.2820 2.0160
4.4409 2.5640 2.9621

***

# 6
Fe5Si GGA-PBE relaxed; space group = P4/mmm; distance to the lowest polymorph of the same formula = 0.36 eV/f.u.; D(E_F) = 7.0 states/eV/cell; spin magnetization = 1.599 μB per atom
1.0
2.8298 0.0000 0.0000
0.0000 2.8298 0.0000
0.0000 0.0000 8.3784
Fe Si
5 1
Cartesian
0.0000 0.0000 7.0411
0.0000 0.0000 1.3373
1.4149 1.4149 5.6263
1.4149 1.4149 2.7521
0.0000 0.0000 4.1892
1.4149 1.4149 0.0000

***

# 7
KNdI4 GGA-PBE relaxed; space group = C2/m; distance to the lowest polymorph of the same formula = 0.00 eV/f.u.; D(E_F) = 0.0 states/eV/cell; spin magnetization = 0.000 μB per atom
1.0
-3.2922 -0.6228 -3.2717
7.9962 0.0566 -4.7055
-2.7106 -7.3711 4.1306
K Nd I
1 1 4
Cartesian
-3.0014 -3.9970 0.4294
0.0000 0.0000 0.0000
4.8207 -0.2909 -4.7955
0.3575 -3.0504 0.2209
-2.8272 -7.6464 0.9489
1.6359 -4.8869 -4.0675

***

# 8
KSbBr3 GGA-PBE relaxed; space group = P-1; distance to the lowest polymorph of the same formula = 0.00 eV/f.u.; spin magnetization = 0.000 μB per atom
1.0
-6.2233 0.5193 -0.9466
4.9162 0.8278 8.3861
1.4958 8.3411 2.6243
K Sb Br
2 2 6
Cartesian
-1.5282 3.4055 1.6755
0.3679 1.3074 5.6199
-1.3051 6.8009 4.9347
1.6407 6.2533 4.9847
-1.7897 4.2623 5.8476
-1.0344 6.7335 2.2637
1.3699 6.3206 7.6558
0.6292 0.4507 1.4476
-2.5493 0.9564 3.6693
1.3890 3.7565 3.6262

***

# 9
ZnCu2Ge GGA-PBE relaxed; space group = P4/mmm; E_form = 0.039 eV per atom; D(E_F) = 1.7 states/eV/cell; spin magnetization = 0.000 μB per atom
1.0
-0.3560 -3.6881 0.6107
3.2695 0.0155 1.9990
-1.9658 0.7212 3.2096
Ge Zn Cu
1 1 2
Cartesian
0.4739 -1.4757 2.9097
-0.1780 -1.8441 0.3054
-0.9829 0.3606 1.6048
1.6347 0.0077 0.9995

***

# 10
AgPd4Pb GGA-PBE relaxed; space group = C2/m; distance to the lowest polymorph of the same formula = 0.00 eV/f.u.; E_form = -0.150 eV per atom; D(E_F) = 2.8 states/eV/cell; spin magnetization = 0.000 μB per atom
1.0
-0.9126 1.2720 3.7065
-4.5176 -1.4069 1.5543
4.1438 -2.8353 4.1772
Ag Pd Pb
1 4 1
Cartesian
0.0000 0.0000 0.0000
0.4580 -2.0183 7.3570
-3.4570 -1.9101 4.1720
-1.7444 -0.9519 2.0810
2.1705 -1.0601 5.2660
-0.6432 -1.4851 4.7190